1.
Entry from the Alexandria database: crystalline FeOsRu at its relaxed geometry (PBE).

Cell and atoms, written as extended XYZ:
```
3
Lattice="-1.337 1.337 5.553 1.337 -1.337 5.553 1.337 1.337 -5.553" Properties=species:S:1:pos:R:3 pbc="T T T"
Fe 0.000 0.000 0.000
Os 0.000 0.000 3.752
Ru 0.000 0.000 7.392
```

## Properties
* volume: 13.23 A^3/atom
* offset from the most stable computed form: 47 meV per atom
* energy of formation: 159 meV/atom
* total moment: 0.498 μB per atom


2.
Entry from the Alexandria database: crystalline KLiMg at its relaxed geometry (PBE).

Cell and atoms, written as extended XYZ:
```
6
Lattice="5.171 0.000 0.000 0.000 6.269 0.000 -2.566 0.000 6.564" Properties=species:S:1:pos:R:3 pbc="T T T"
K 0.000 0.000 0.000
K 0.018 3.135 5.778
Li -0.007 3.135 2.366
Li -0.004 0.000 3.419
Mg 2.577 1.566 2.869
Mg 2.577 4.703 2.869
```

## Properties
* volume: 35.47 A^3/atom
* offset from the most stable computed form: 23 meV per atom
* energy of formation: 101 meV/atom
* total moment: 0.000 μB per atom


3.
Entry from the Alexandria database: crystalline NaPuSb at its relaxed geometry (PBE).

Cell and atoms, written as extended XYZ:
```
3
Lattice="-2.085 2.085 4.830 2.085 -2.085 4.830 2.085 2.085 -4.830" Properties=species:S:1:pos:R:3 pbc="T T T"
Na 0.000 0.000 0.000
Pu 0.000 0.000 6.600
Sb 0.000 0.000 3.205
```

## Properties
* volume: 27.99 A^3/atom
* total moment: 1.999 μB per atom
* formation energy from raw total energies: -3.97 kcal/mol of atoms


4.
Entry from the Alexandria database: crystalline Tb2NdSc6 at its relaxed geometry (PBE).

Cell and atoms, written as extended XYZ:
```
9
Lattice="6.993 0.000 0.000 -3.497 6.056 0.000 0.000 0.000 5.863" Properties=species:S:1:pos:R:3 pbc="T T T"
Tb 0.000 4.037 1.796
Tb 3.497 2.019 4.068
Nd 0.000 0.000 2.932
Sc 0.000 2.287 4.790
Sc -1.516 4.913 4.790
Sc 1.980 1.143 1.073
Sc 1.516 4.913 4.790
Sc 5.013 1.143 1.073
Sc 3.497 3.770 1.073
```

## Properties
* volume: 27.59 A^3/atom
* energy of formation: 233 meV/atom
* total moment: 0.000 μB per atom